one) BaSbTe3: relaxed, PBE.

Cell: 4.613 17.350 18.342 Å, 90.00 90.00 90.00°
Element x y z (fractional)
Ba 0.512 0.854 0.346
Ba 0.012 0.146 0.154
Ba 0.988 0.354 0.654
Ba 0.488 0.646 0.846
Ba 0.508 0.710 0.584
Ba 0.008 0.290 0.916
Ba 0.992 0.210 0.416
Ba 0.492 0.790 0.084
Sb 0.981 0.617 0.279
Sb 0.481 0.383 0.221
Sb 0.519 0.117 0.721
Sb 0.019 0.883 0.779
Sb 0.025 0.969 0.550
Sb 0.525 0.031 0.950
Sb 0.475 0.469 0.450
Sb 0.975 0.531 0.050
Te 0.471 0.931 0.658
Te 0.971 0.069 0.842
Te 0.029 0.431 0.342
Te 0.529 0.569 0.158
Te 0.537 0.987 0.191
Te 0.037 0.013 0.309
Te 0.963 0.487 0.809
Te 0.463 0.513 0.691
Te 0.512 0.647 0.382
Te 0.012 0.353 0.118
Te 0.988 0.147 0.618
Te 0.488 0.853 0.882
Te 0.010 0.817 0.483
Te 0.510 0.183 0.017
Te 0.490 0.317 0.517
Te 0.990 0.683 0.983
Te 0.997 0.725 0.725
Te 0.497 0.275 0.775
Te 0.503 0.225 0.275
Te 0.003 0.775 0.225
Te 0.057 0.538 0.558
Te 0.557 0.462 0.942
Te 0.443 0.038 0.442
Te 0.943 0.962 0.058

Properties
As for the crystal system: orthorhombic. The space group is P2_12_12_1, No. 19.

two) BaSbTe3: relaxed, PBE.

Cell: 5.815 5.815 5.815 Å, 90.00 90.00 90.00°
Element x y z (fractional)
Sb 0.000 0.000 0.000
Te 0.000 0.500 0.000
Te 0.000 0.000 0.500
Te 0.500 0.000 0.000
Ba 0.500 0.500 0.500

Properties
As for the crystal system: cubic. The space group is Pm-3m, No. 221.

Relative energy of each structure, in kJ/mol of atoms: one) 0.0; two) 25.0.

one) BaTiSb2Te: relaxed, PBE.

Cell: 5.335 5.335 5.643 Å, 90.00 90.00 90.00°
Element x y z (fractional)
Sb 0.000 0.500 0.000
Sb 0.500 0.000 0.000
Te 0.000 0.000 0.500
Ba 0.500 0.500 0.500
Ti 0.000 0.000 0.000

Properties
As for the crystal system: tetragonal. The space group is P4/mmm, No. 123.

two) BaTiSb2Te: relaxed, PBE.

Cell: 6.111 6.111 6.263 Å, 90.00 90.00 90.00°
Element x y z (fractional)
Sb 0.000 0.500 0.000
Sb 0.500 0.000 0.000
Te 0.000 0.000 0.500
Ba 0.000 0.000 0.000
Ti 0.500 0.500 0.500

Properties
As for the crystal system: tetragonal. The space group is P4/mmm, No. 123.

Relative energy of each structure, in kJ/mol of atoms: one) 0.0; two) 168.5.

one) BaTlSbTe2: relaxed, PBE.

Cell: 6.512 6.512 6.449 Å, 90.00 90.00 90.00°
Element x y z (fractional)
Sb 0.000 0.000 0.500
Tl 0.500 0.500 0.500
Te 0.000 0.500 0.000
Te 0.500 0.000 0.000
Ba 0.000 0.000 0.000

Properties
As for the crystal system: tetragonal. The space group is P4/mmm, No. 123.

two) BaTlSbTe2: relaxed, PBE.

Cell: 5.974 5.974 5.593 Å, 90.00 90.00 90.00°
Element x y z (fractional)
Sb 0.000 0.000 0.500
Tl 0.000 0.000 0.000
Te 0.000 0.500 0.000
Te 0.500 0.000 0.000
Ba 0.500 0.500 0.500

Properties
As for the crystal system: tetragonal. The space group is P4/mmm, No. 123.

Relative energy of each structure, in kJ/mol of atoms: one) 40.5; two) 0.0.

one) BaVSb2Te: relaxed, PBE.

Cell: 5.113 5.113 6.071 Å, 90.00 90.00 90.00°
Element x y z (fractional)
Sb 0.000 0.500 0.000
Sb 0.500 0.000 0.000
Te 0.000 0.000 0.500
Ba 0.500 0.500 0.500
V 0.000 0.000 0.000

Properties
As for the crystal system: tetragonal. The space group is P4/mmm, No. 123.

two) BaVSb2Te: relaxed, PBE.

Cell: 6.182 6.182 6.306 Å, 90.00 90.00 90.00°
Element x y z (fractional)
Sb 0.000 0.500 0.000
Sb 0.500 0.000 0.000
Te 0.000 0.000 0.500
Ba 0.000 0.000 0.000
V 0.500 0.500 0.500

Properties
As for the crystal system: tetragonal. The space group is P4/mmm, No. 123.

Relative energy of each structure, in kJ/mol of atoms: one) 0.0; two) 159.4.

one) BaYSb2Te: relaxed, PBE.

Cell: 5.953 5.953 6.196 Å, 90.00 90.00 90.00°
Element x y z (fractional)
Y 0.500 0.500 0.500
Sb 0.000 0.500 0.000
Sb 0.500 0.000 0.000
Te 0.000 0.000 0.500
Ba 0.000 0.000 0.000

Properties
As for the crystal system: tetragonal. The space group is P4/mmm, No. 123.

two) BaYSb2Te: relaxed, PBE.

Cell: 5.806 5.806 5.901 Å, 90.00 90.00 90.00°
Element x y z (fractional)
Y 0.000 0.000 0.000
Sb 0.000 0.500 0.000
Sb 0.500 0.000 0.000
Te 0.000 0.000 0.500
Ba 0.500 0.500 0.500

Properties
As for the crystal system: tetragonal. The space group is P4/mmm, No. 123.

Relative energy of each structure, in kJ/mol of atoms: one) 111.3; two) 0.0.

one) BaZnSbTe2: relaxed, PBE.

Cell: 6.598 6.598 6.784 Å, 90.00 90.00 90.00°
Element x y z (fractional)
Sb 0.000 0.000 0.500
Zn 0.500 0.500 0.500
Te 0.000 0.500 0.000
Te 0.500 0.000 0.000
Ba 0.000 0.000 0.000

Properties
As for the crystal system: tetragonal. The space group is P4/mmm, No. 123.

two) BaZnSbTe2: relaxed, PBE.

Cell: 5.709 5.709 5.089 Å, 90.00 90.00 90.00°
Element x y z (fractional)
Sb 0.000 0.000 0.500
Zn 0.000 0.000 0.000
Te 0.000 0.500 0.000
Te 0.500 0.000 0.000
Ba 0.500 0.500 0.500

Properties
As for the crystal system: tetragonal. The space group is P4/mmm, No. 123.

Relative energy of each structure, in kJ/mol of atoms: one) 96.8; two) 0.0.

one) BaZrSb2Te: relaxed, PBE.

Cell: 5.615 5.615 5.701 Å, 90.00 90.00 90.00°
Element x y z (fractional)
Sb 0.000 0.500 0.000
Sb 0.500 0.000 0.000
Te 0.000 0.000 0.500
Ba 0.500 0.500 0.500
Zr 0.000 0.000 0.000

Properties
As for the crystal system: tetragonal. The space group is P4/mmm, No. 123.

two) BaZrSb2Te: relaxed, PBE.

Cell: 5.984 5.984 6.172 Å, 90.00 90.00 90.00°
Element x y z (fractional)
Sb 0.000 0.500 0.000
Sb 0.500 0.000 0.000
Te 0.000 0.000 0.500
Ba 0.000 0.000 0.000
Zr 0.500 0.500 0.500

Properties
As for the crystal system: tetragonal. The space group is P4/mmm, No. 123.

Relative energy of each structure, in kJ/mol of atoms: one) 0.0; two) 168.0.

one) BaTiSb3: relaxed, PBE.

Cell: 5.394 5.394 5.394 Å, 90.00 90.00 90.00°
Element x y z (fractional)
Sb 0.000 0.500 0.000
Sb 0.000 0.000 0.500
Sb 0.500 0.000 0.000
Ba 0.500 0.500 0.500
Ti 0.000 0.000 0.000

Properties
As for the crystal system: cubic. The space group is Pm-3m, No. 221.

two) BaTiSb3: relaxed, PBE.

Cell: 6.088 6.088 6.088 Å, 90.00 90.00 90.00°
Element x y z (fractional)
Sb 0.000 0.500 0.000
Sb 0.000 0.000 0.500
Sb 0.500 0.000 0.000
Ba 0.000 0.000 0.000
Ti 0.500 0.500 0.500

Properties
As for the crystal system: cubic. The space group is Pm-3m, No. 221.

Relative energy of each structure, in kJ/mol of atoms: one) 0.0; two) 170.0.